No. 1
First-principles (PBE) data for an optimized crystal structure of TlNiN3, as listed in Alexandria via LeMat-Bulk.

## Properties
Space group: No. 221
Final energy: -3.64 eV per atom
Magnetic moment: 0.04 μB/atom
Formation energy (no corrections): 2.988 eV/atom
N(E_F): 10.6 states/eV per cell

Cell: 4.1984 4.1984 4.1984 Å, 90.00 90.00 90.00°
Fractional positions:
Tl1 0.0000 0.0000 0.0000
Ni1 0.5000 0.5000 0.5000
N1 0.0000 0.0000 0.5000
N2 0.0000 0.5000 0.0000
N3 0.5000 0.0000 0.0000

No. 2
First-principles (PBE) data for an optimized crystal structure of ZrAsSe2Br, as listed in Alexandria via LeMat-Bulk.

## Properties
Energy relative to the lowest polymorph listed for this composition: 478.4 meV per atom
Space group: No. 123
Final energy: -4.06 eV per atom
Magnetic moment: 0.32 μB/atom
Formation energy (no corrections): 0.311 eV/atom
N(E_F): 5.4 states/eV per cell

Cell: 5.0843 5.0843 4.9856 Å, 90.00 90.00 90.00°
Fractional positions:
Zr1 0.0000 0.0000 0.0000
As1 0.5000 0.5000 0.5000
Se1 0.0000 0.5000 0.5000
Se2 0.5000 0.0000 0.5000
Br1 0.5000 0.5000 0.0000

No. 3
First-principles (PBE) data for an optimized crystal structure of Tb12YTm7, as listed in Alexandria via LeMat-Bulk.

## Properties
Energy relative to the lowest polymorph listed for this composition: 0.0 meV per atom
Space group: No. 148
Formation enthalpy at 0 K: 0.3027 eV/atom
Final energy: -4.36 eV per atom
Magnetic moment: 0.00 μB/atom
N(E_F): 18.9 states/eV per cell

Cell: 8.6608 8.6608 8.6608 Å, 94.93 94.93 94.93°
Fractional positions:
Tb1 0.1470 0.4148 0.4768
Tb2 0.1858 0.7504 0.3142
Tb3 0.2496 0.6858 0.8142
Tb4 0.3142 0.1858 0.7504
Tb5 0.4148 0.4768 0.1470
Tb6 0.4768 0.1470 0.4148
Tb7 0.5232 0.8530 0.5852
Tb8 0.5852 0.5232 0.8530
Tb9 0.6858 0.8142 0.2496
Tb10 0.7504 0.3142 0.1858
Tb11 0.8142 0.2496 0.6858
Tb12 0.8530 0.5852 0.5232
Y1 0.0000 0.0000 0.0000
Tm1 0.0199 0.0826 0.3514
Tm2 0.0826 0.3514 0.0199
Tm3 0.3514 0.0199 0.0826
Tm4 0.5000 0.5000 0.5000
Tm5 0.6486 0.9801 0.9174
Tm6 0.9174 0.6486 0.9801
Tm7 0.9801 0.9174 0.6486

No. 4
First-principles (PBE) data for an optimized crystal structure of RbScCu2Cl6, as listed in Alexandria via LeMat-Bulk.

## Properties
Space group: No. 15
Final energy: -3.99 eV per atom
Magnetic moment: 0.00 μB/atom
Formation energy (no corrections): -1.331 eV/atom
N(E_F): 0.0 states/eV per cell

Cell: 9.6923 9.6923 7.7904 Å, 107.20 107.20 85.51°
Fractional positions:
Rb1 0.1445 0.8555 0.7500
Rb2 0.8555 0.1445 0.2500
Sc1 0.1938 0.8062 0.2500
Sc2 0.8062 0.1938 0.7500
Cu1 0.3363 0.3549 0.7914
Cu2 0.3549 0.3363 0.2914
Cu3 0.6451 0.6637 0.7086
Cu4 0.6637 0.6451 0.2086
Cl1 0.0295 0.1944 0.6872
Cl2 0.1912 0.6163 0.9814
Cl3 0.1944 0.0295 0.1872
Cl4 0.2733 0.4173 0.5332
Cl5 0.3837 0.8088 0.5186
Cl6 0.4173 0.2733 0.0332
Cl7 0.5827 0.7267 0.9668
Cl8 0.6163 0.1912 0.4814
Cl9 0.7267 0.5827 0.4668
Cl10 0.8056 0.9705 0.8128
Cl11 0.8088 0.3837 0.0186
Cl12 0.9705 0.8056 0.3128